[1]
! Nd2ThTe5, relaxed, DFT PBE; values from VASP
&SYSTEM
  ibrav = 0, nat = 16, ntyp = 3
/
ATOMIC_SPECIES
Nd 144.24 Nd.upf
Th 232.04 Th.upf
Te 127.60 Te.upf
ATOMIC_POSITIONS crystal
Nd 0.148 0.852 0.554
Nd 0.148 0.852 0.946
Nd 0.852 0.148 0.054
Nd 0.852 0.148 0.446
Th 0.206 0.794 0.250
Th 0.794 0.206 0.750
Te 0.047 0.953 0.124
Te 0.047 0.953 0.376
Te 0.249 0.751 0.750
Te 0.323 0.677 0.073
Te 0.323 0.677 0.427
Te 0.677 0.323 0.573
Te 0.677 0.323 0.927
Te 0.751 0.249 0.250
Te 0.953 0.047 0.624
Te 0.953 0.047 0.876
CELL_PARAMETERS angstrom
3.110 -7.449 0.000
3.110 7.449 0.000
0.000 0.000 15.123
! Raw formation energy   -1274 meV/atom
! Energy above the lowest structure with this stoichiometry   0.000 eV per atom

[2]
! NdTh3Te4, relaxed, DFT PBE; values from VASP
&SYSTEM
  ibrav = 0, nat = 8, ntyp = 3
/
ATOMIC_SPECIES
Nd 144.24 Nd.upf
Th 232.04 Th.upf
Te 127.60 Te.upf
ATOMIC_POSITIONS crystal
Nd 0.000 0.000 0.000
Th 0.000 0.000 0.500
Th 0.500 0.500 0.252
Th 0.500 0.500 0.748
Te 0.000 0.000 0.249
Te 0.000 0.000 0.751
Te 0.500 0.500 0.000
Te 0.500 0.500 0.500
CELL_PARAMETERS angstrom
4.475 0.000 0.000
0.000 4.475 0.000
0.000 0.000 12.631
! Raw formation energy   -1117 meV/atom
! Energy above the lowest structure with this stoichiometry   0.000 eV per atom